Entry 1:
Here is a crystal of Zr2AlTe relaxed with PBEsol from Alexandria via LeMat-Bulk. Energies are from meta-GGA SCAN.

abc: 7.208 7.208 7.208
angles: 31.27 31.27 31.27
Atoms (fractional coordinates):
1 Zr 0.242 0.242 0.242
2 Zr 0.758 0.758 0.758
3 Al 0.500 0.500 0.500
4 Te 0.000 0.000 0.000

Summary:
- uncorrected formation energy (meV/atom) = -448
- relative energy among the computed polymorphs (eV per formula unit) = 0.08



Entry 2:
Here is a crystal of Zr3AlTe relaxed with PBEsol from Alexandria via LeMat-Bulk. Energies are from meta-GGA SCAN.

abc: 4.961 4.961 4.961
angles: 90.00 90.00 90.00
Atoms (fractional coordinates):
1 Zr 0.000 0.000 0.500
2 Zr 0.000 0.500 0.000
3 Zr 0.500 0.000 0.000
4 Al 0.000 0.000 0.000
5 Te 0.500 0.500 0.500

Summary:
- uncorrected formation energy (meV/atom) = 382



Entry 3:
Here is a crystal of ZrAlTe2 relaxed with PBEsol from Alexandria via LeMat-Bulk. Energies are from meta-GGA SCAN.

abc: 3.580 3.580 7.067
angles: 90.00 90.00 90.00
Atoms (fractional coordinates):
1 Zr 0.000 0.000 0.000
2 Al 0.000 0.000 0.500
3 Te 0.500 0.500 0.234
4 Te 0.500 0.500 0.766

Summary:
- uncorrected formation energy (meV/atom) = -375



Q: What is the formula in the first record?
A: Zr2AlTe